(1)
Here is an optimized crystal structure of RbTbCu2I6 from the Alexandria database. Energies are from PBE.

a b c (Å): 14.0719 14.5295 7.8513
angles (deg): 90.00 96.17 90.00
Space group C2/c (No. 15)
Asymmetric unit:
1 Rb 0.0000 0.0835 0.2500 x4
2 Tb 0.0000 0.2831 0.7500 x4
3 Cu 0.1749 0.4210 0.2930 x8
4 I 0.1146 0.2840 0.0964 x8
5 I 0.1331 0.1241 0.6608 x8
6 I 0.1396 0.4262 0.6170 x8

- Total magnetization: 0.0000 μB per atom

=====

(2)
Here is an optimized crystal structure of LiTa2Te from the Alexandria database. Energies are from PBE.

a b c (Å): 9.2989 3.2788 5.0370
angles (deg): 90.00 102.99 90.00
Space group Cm (No. 8)
Asymmetric unit:
1 Li 0.0000 0.0000 0.0000 x2
2 Ta 0.0054 0.5000 0.5040 x2
3 Ta 0.2586 0.5000 0.2665 x2
4 Te 0.2512 0.0000 0.7674 x2

- Total magnetization: 0.0000 μB per atom

=====

Let's list raw total energy in order: -3.167; -6.910 eV per atom.
Let's list formation energy (no corrections) in order: -858; 280 meV per atom.
Let's list ρ in order: 4.7; 11.0 g/cm³.